Entry 1:
Crystalline Na3SeF6 at its relaxed geometry. Source: Alexandria, functional PBE-GGA.

Results
Final energy   -3.94 eV/atom
E_form (uncorrected)   -2.0729 eV per atom

a b c (Å): 5.4905 5.4905 6.4791
angles (deg): 112.72 112.72 95.08
Each line ends with the local moment (μB).
Fractional positions:
Na (0.5000, 0.5000, 0.0000)  0.00
Na (0.7500, 0.2500, 0.5000)  0.00
Na (0.2500, 0.7500, 0.5000)  0.00
F (0.7632, 0.2368, 0.0000)  0.02
F (0.1163, 0.1163, 0.7490)  0.06
F (0.3673, 0.3673, 0.2510)  0.06
F (0.6327, 0.6327, 0.7490)  0.06
F (0.2368, 0.7632, 0.0000)  0.02
F (0.8837, 0.8837, 0.2510)  0.06
Se (0.0000, 0.0000, 0.0000)  0.47

---

Entry 2:
Crystalline LaCePr at its relaxed geometry. Source: Alexandria, functional PBE-GGA.

Results
Final energy   -5.14 eV/atom
Energy of formation from the pure elements   0.073 eV/atom
Relative energy among the computed polymorphs   0.392 kcal/mol of atoms

a b c (Å): 6.3029 3.6369 17.5421
angles (deg): 101.93 32.96 89.95
Each line ends with the local moment (μB).
Fractional positions:
Pr (0.1799, 0.4544, 0.2559)  -0.01
Pr (0.8561, 0.5972, 0.8949)  -0.01
Ce (0.2697, 0.2752, 0.5749)  0.32
Ce (0.7665, 0.7762, 0.5759)  0.32
La (0.3609, 0.0948, 0.8931)  -0.01
La (0.6752, 0.9567, 0.2577)  -0.01

---

Entry 3:
Crystalline Ta2TcSe at its relaxed geometry. Source: Alexandria, functional PBE-GGA.

Results
Final energy   -9.34 eV/atom
E_form (uncorrected)   0.0463 eV per atom

a b c (Å): 3.2453 4.7799 4.3098
angles (deg): 90.00 90.00 90.00
Fractional positions:
Ta (0.0000, 0.0000, 0.0000)
Ta (0.5000, 0.5000, 0.0000)
Tc (0.5000, 0.0000, 0.5000)
Se (0.0000, 0.5000, 0.5000)

---

Entry 4:
Crystalline Na2V3Cl8 at its relaxed geometry. Source: Alexandria, functional PBE-GGA.

Results
Final energy   -4.77 eV/atom
E_form (uncorrected)   -1.3281 eV per atom

a b c (Å): 6.3928 7.7408 7.7408
angles (deg): 57.46 75.10 75.10
Each line ends with the local moment (μB).
Fractional positions:
V (0.5000, 0.0000, 0.0000)  2.63
V (0.0000, 0.2537, 0.7463)  2.63
V (0.0000, 0.7463, 0.2537)  2.63
Na (0.3500, 0.7290, 0.7290)  0.00
Na (0.6500, 0.2710, 0.2710)  0.00
Cl (0.6109, 0.3379, 0.8765)  -0.01
Cl (0.8975, 0.8981, 0.8981)  -0.03
Cl (0.9314, 0.3920, 0.3920)  -0.01
Cl (0.6109, 0.8765, 0.3379)  -0.01
Cl (0.1025, 0.1019, 0.1019)  -0.03
Cl (0.3891, 0.1235, 0.6621)  -0.01
Cl (0.0686, 0.6080, 0.6080)  -0.01
Cl (0.3891, 0.6621, 0.1235)  -0.01

---

Entry 5:
Crystalline CaZn3Au at its relaxed geometry. Source: Alexandria, functional PBE-GGA.

Results
Final energy   -0.98 eV/atom
Energy of formation from the pure elements   0.843 eV/atom
Relative energy among the computed polymorphs   28.213 kcal/mol of atoms

a b c (Å): 5.7307 5.7307 5.7307
angles (deg): 90.00 90.00 90.00
Fractional positions:
Au (0.5000, 0.5000, 0.5000)
Zn (0.0000, 0.5000, 0.0000)
Zn (0.5000, 0.0000, 0.0000)
Zn (0.0000, 0.0000, 0.5000)
Ca (0.0000, 0.0000, 0.0000)

---

Entry 6:
Crystalline KMnCd2 at its relaxed geometry. Source: Alexandria, functional PBE-GGA.

Results
Final energy   -2.78 eV/atom
Energy of formation from the pure elements   0.244 eV/atom
Relative energy among the computed polymorphs   0.000 kcal/mol of atoms

a b c (Å): 3.4848 3.4848 8.4799
angles (deg): 90.00 90.00 89.98
Each line ends with the local moment (μB).
Fractional positions:
Cd (0.0000, 0.0000, 0.5678)  -0.02
Cd (0.0000, 0.0000, 0.9322)  -0.02
K (0.5000, 0.5000, 0.2500)  0.01
Mn (0.5000, 0.5000, 0.7500)  3.87

---

What is the final energy in the sixth record? -2.78 eV/atom

---

Please write out number 6 again, unchanged.
Crystalline KMnCd2 at its relaxed geometry. Source: Alexandria, functional PBE-GGA.

Results
Final energy   -2.78 eV/atom
Energy of formation from the pure elements   0.244 eV/atom
Relative energy among the computed polymorphs   0.000 kcal/mol of atoms

a b c (Å): 3.4848 3.4848 8.4799
angles (deg): 90.00 90.00 89.98
Each line ends with the local moment (μB).
Fractional positions:
Cd (0.0000, 0.0000, 0.5678)  -0.02
Cd (0.0000, 0.0000, 0.9322)  -0.02
K (0.5000, 0.5000, 0.2500)  0.01
Mn (0.5000, 0.5000, 0.7500)  3.87

---

Please write out number 3 again, unchanged.
Crystalline Ta2TcSe at its relaxed geometry. Source: Alexandria, functional PBE-GGA.

Results
Final energy   -9.34 eV/atom
E_form (uncorrected)   0.0463 eV per atom

a b c (Å): 3.2453 4.7799 4.3098
angles (deg): 90.00 90.00 90.00
Fractional positions:
Ta (0.0000, 0.0000, 0.0000)
Ta (0.5000, 0.5000, 0.0000)
Tc (0.5000, 0.0000, 0.5000)
Se (0.0000, 0.5000, 0.5000)